A plane-wave DFT calculation with PBE was carried out for a relaxed YBiN2 crystal.

Computed properties:
**Total moment**: 0.0 μB/f.u.
**Formation energy from raw total energies**: -0.300 eV/atom
**N(E_F)**: 0.00 states/eV per cell
**E**: -7.049 eV per atom

a b c (Å): 5.3922 5.3922 11.0201
angles (deg): 90.00 90.00 90.00
Last column: nearest neighbours and their distance in Å.
Space group I-42d (No. 122)
Unique sites:
Y (0.0000, 0.0000, 0.0000) [4 per cell]  4 N 2.29
Bi (0.0000, 0.0000, 0.5000) [4 per cell]  4 N 2.42
N (0.2282, 0.2500, 0.1250) [8 per cell]  2 Y 2.29, 2 Bi 2.42

***

A plane-wave DFT calculation with PBE was carried out for a relaxed Y2BiN4 crystal.

Computed properties:
**Total moment**: 0.3 μB/f.u.
**Formation energy from raw total energies**: 0.033 eV/atom
**N(E_F)**: 8.96 states/eV per cell
**E**: -7.126 eV per atom

a b c (Å): 4.2532 4.2532 12.0784
angles (deg): 90.00 90.00 90.00
Last column: nearest neighbours and their distance in Å.
Space group I4/mmm (No. 139)
Unique sites:
Y (0.0000, 0.0000, 0.1401) [4 per cell]  1 N 2.16
Bi (0.0000, 0.0000, 0.5000) [2 per cell]  6 N 2.13-2.19
N (0.0000, 0.0000, 0.3188) [4 per cell]  1 Y 2.16, 1 Bi 2.19
N (0.0000, 0.5000, 0.0000) [4 per cell]  2 Bi 2.13

***

A plane-wave DFT calculation with PBE was carried out for a relaxed Y5Bi4N crystal.

Computed properties:
**Total moment**: 0.0 μB/f.u.
**Formation energy from raw total energies**: -0.870 eV/atom
**N(E_F)**: 5.13 states/eV per cell
**E**: -6.487 eV per atom

a b c (Å): 9.5216 9.5216 6.3097
angles (deg): 90.00 90.00 90.00
Last column: nearest neighbours and their distance in Å.
Space group I4 (No. 79)
Unique sites:
Y (0.0000, 0.0000, 0.0000) [2 per cell]  1 N 2.26
Y (0.0965, 0.2506, 0.4163) [8 per cell]  1 N 2.58
Bi (0.0823, 0.3101, 0.9132) [8 per cell]  6 Y 3.10-3.28
N (0.0000, 0.0000, 0.3578) [2 per cell]  1 Y 2.26

***

A plane-wave DFT calculation with PBE was carried out for a relaxed Y4Bi2N crystal.

Computed properties:
**Total moment**: 0.0 μB/f.u.
**Formation energy from raw total energies**: -0.948 eV/atom
**N(E_F)**: 15.51 states/eV per cell
**E**: -6.940 eV per atom

a b c (Å): 4.7012 4.7012 16.3698
angles (deg): 90.00 90.00 90.00
Last column: nearest neighbours and their distance in Å.
Space group I4/mmm (No. 139)
Unique sites:
Y (0.0000, 0.0000, 0.1598) [4 per cell]  1 N 2.62
Y (0.0000, 0.5000, 0.0000) [4 per cell]  2 N 2.35
Bi (0.0000, 0.0000, 0.3550) [4 per cell]  9 Y 3.19-3.34
N (0.0000, 0.0000, 0.0000) [2 per cell]  6 Y 2.35-2.62

***

Among the records above, which one has the highest total moment?
Y2BiN4